(1)
CaSc2Si: relaxed, PBE.

The structure belongs to space group P4/mmm (No. 123); the cell edges are 4.494, 4.494 and 4.394 Å and the angles 90.00°, 90.00° and 90.00°. The distinct sites, in fractional coordinates, are Ca at (0.000, 0.000, 0.000), Sc at (0.000, 0.500, 0.500) and Si at (0.500, 0.500, 0.000).

For the formation energy from raw total energies, the calculation gives -0.625 eV per formula unit. The total energy comes out at -5.178 eV per atom.

(2)
NiSbOs2: relaxed, PBE.

The structure belongs to space group P4/mmm (No. 123); the cell edges are 3.968, 3.968 and 3.801 Å and the angles 90.00°, 90.00° and 90.00°. The distinct sites, in fractional coordinates, are Ni at (0.000, 0.000, 0.000), Sb at (0.500, 0.500, 0.000) and Os at (0.000, 0.500, 0.500).

For the formation energy from raw total energies, the calculation gives 1.875 eV per formula unit. The total energy comes out at -7.622 eV per atom.

(3)
Li3FeTe: relaxed, PBE.

The structure belongs to space group Pm-3m (No. 221); the cell edges are 5.175, 5.175 and 5.175 Å and the angles 90.00°, 90.00° and 90.00°. The distinct sites, in fractional coordinates, are Li at (0.000, 0.000, 0.500), Fe at (0.500, 0.500, 0.500) and Te at (0.000, 0.000, 0.000).

For the formation energy from raw total energies, the calculation gives 1.116 eV per formula unit. The total energy comes out at -3.246 eV per atom.

- formation energy from raw total energies of number 1 (CaSc2Si)?
  -0.625 eV per formula unit

- formation energy from raw total energies of number 2 (NiSbOs2)?
  1.875 eV per formula unit

- The highest formation energy from raw total energies belongs to which entry?
  NiSbOs2

- Which of these has the highest formation energy from raw total energies?
  NiSbOs2